Version P
A plane-wave DFT calculation with PBE-GGA was carried out for a relaxed LaI3O crystal.

Summary:
Total magnetization ... 0.000 μB per formula unit

Structure (CIF):
```
data_LaI3O
_cell_length_a 5.2154
_cell_length_b 5.2154
_cell_length_c 5.2154
_cell_angle_alpha 90.00
_cell_angle_beta 90.00
_cell_angle_gamma 90.00
_space_group_name_H-M_alt 'P m -3 m'
_space_group_IT_number 221
_space_group_name_Hall '-P 4 2 3'
loop_
_atom_site_label
_atom_site_type_symbol
_atom_site_fract_x
_atom_site_fract_y
_atom_site_fract_z
_atom_site_occupancy
La1 La 0.0000 0.0000 0.0000 1
I1 I 0.0000 0.5000 0.5000 1
O1 O 0.5000 0.5000 0.5000 1
```

Version Q
A plane-wave DFT calculation with PBE-GGA was carried out for a relaxed LaI3O crystal.

Summary:
Total magnetization ... 0.000 μB per formula unit

Structure (CIF):
```
data_LaI3O
_cell_length_a 6.2777
_cell_length_b 6.2777
_cell_length_c 6.2777
_cell_angle_alpha 90.00
_cell_angle_beta 90.00
_cell_angle_gamma 90.00
_space_group_name_H-M_alt 'P m -3 m'
_space_group_IT_number 221
_space_group_name_Hall '-P 4 2 3'
loop_
_atom_site_label
_atom_site_type_symbol
_atom_site_fract_x
_atom_site_fract_y
_atom_site_fract_z
_atom_site_occupancy
La1 La 0.0000 0.0000 0.0000 1
I1 I 0.0000 0.0000 0.5000 1
O1 O 0.5000 0.5000 0.5000 1
```

The calculated energies rank the structures as follows, beginning with the most stable: version P, version Q.

Version P
A plane-wave DFT calculation with PBE-GGA was carried out for a relaxed LaI2O6 crystal.

Summary:
Total magnetization ... 0.000 μB per formula unit

Structure (CIF):
```
data_LaI2O6
_cell_length_a 9.8262
_cell_length_b 11.3924
_cell_length_c 8.0308
_cell_angle_alpha 90.00
_cell_angle_beta 127.49
_cell_angle_gamma 90.00
_space_group_name_H-M_alt 'C 1 2/c 1'
_space_group_IT_number 15
loop_
_space_group_symop_operation_xyz
'x,y,z'
'-x,-y,-z'
'-x,y,-z+1/2'
'x,-y,z+1/2'
'x+1/2,y+1/2,z'
'-x+1/2,-y+1/2,-z'
'-x+1/2,y+1/2,-z+1/2'
'x+1/2,-y+1/2,z+1/2'
loop_
_atom_site_label
_atom_site_type_symbol
_atom_site_fract_x
_atom_site_fract_y
_atom_site_fract_z
_atom_site_occupancy
La1 La 0.0000 0.1634 0.2500 1
I1 I 0.2004 0.1575 0.8137 1
O1 O 0.0335 0.1744 0.9460 1
O2 O 0.1796 0.0040 0.2966 1
O3 O 0.2138 0.3228 0.3397 1
```

Version Q
A plane-wave DFT calculation with PBE-GGA was carried out for a relaxed LaI2O6 crystal.

Summary:
Total magnetization ... 0.000 μB per formula unit

Structure (CIF):
```
data_LaI2O6
_cell_length_a 9.6729
_cell_length_b 14.1043
_cell_length_c 4.4459
_cell_angle_alpha 90.00
_cell_angle_beta 95.77
_cell_angle_gamma 90.00
_space_group_name_H-M_alt 'C 1 2/c 1'
_space_group_IT_number 15
loop_
_space_group_symop_operation_xyz
'x,y,z'
'-x,-y,-z'
'-x,y,-z+1/2'
'x,-y,z+1/2'
'x+1/2,y+1/2,z'
'-x+1/2,-y+1/2,-z'
'-x+1/2,y+1/2,-z+1/2'
'x+1/2,-y+1/2,z+1/2'
loop_
_atom_site_label
_atom_site_type_symbol
_atom_site_fract_x
_atom_site_fract_y
_atom_site_fract_z
_atom_site_occupancy
La1 La 0.0000 0.1319 0.2500 1
I1 I 0.1707 0.3926 0.2029 1
O1 O 0.1264 0.1000 0.7783 1
O2 O 0.1476 0.2631 0.2364 1
O3 O 0.1879 0.4245 0.6178 1
```

The calculated energies rank the structures as follows, beginning with the most stable: version Q, version P.

Version P
A plane-wave DFT calculation with PBE-GGA was carried out for a relaxed La2IO2 crystal.

Summary:
Total magnetization ... 0.227 μB per formula unit

Structure (CIF):
```
data_La2IO2
_cell_length_a 4.0054
_cell_length_b 4.0054
_cell_length_c 7.0814
_cell_angle_alpha 90.00
_cell_angle_beta 90.00
_cell_angle_gamma 90.00
_space_group_name_H-M_alt 'P 4/m m m'
_space_group_IT_number 123
_space_group_name_Hall '-P 4 2'
loop_
_atom_site_label
_atom_site_type_symbol
_atom_site_fract_x
_atom_site_fract_y
_atom_site_fract_z
_atom_site_occupancy
La1 La 0.0000 0.0000 0.2001 1
I1 I 0.5000 0.5000 0.5000 1
O1 O 0.0000 0.5000 0.0000 1
```

Version Q
A plane-wave DFT calculation with PBE-GGA was carried out for a relaxed La2IO2 crystal.

Summary:
Total magnetization ... 0.996 μB per formula unit

Structure (CIF):
```
data_La2IO2
_cell_length_a 4.2641
_cell_length_b 4.2641
_cell_length_c 12.7671
_cell_angle_alpha 90.00
_cell_angle_beta 90.00
_cell_angle_gamma 90.00
_space_group_name_H-M_alt 'I 4/m m m'
_space_group_IT_number 139
_space_group_name_Hall '-I 4 2'
loop_
_atom_site_label
_atom_site_type_symbol
_atom_site_fract_x
_atom_site_fract_y
_atom_site_fract_z
_atom_site_occupancy
La1 La 0.0000 0.0000 0.1612 1
I1 I 0.0000 0.0000 0.5000 1
O1 O 0.0000 0.5000 0.2500 1
```

Version R
A plane-wave DFT calculation with PBE-GGA was carried out for a relaxed La2IO2 crystal.

Summary:
Total magnetization ... 0.093 μB per formula unit

Structure (CIF):
```
data_La2IO2
_cell_length_a 7.2060
_cell_length_b 10.5945
_cell_length_c 7.0249
_cell_angle_alpha 90.00
_cell_angle_beta 120.83
_cell_angle_gamma 90.00
_space_group_name_H-M_alt 'C 1 2/c 1'
_space_group_IT_number 15
loop_
_space_group_symop_operation_xyz
'x,y,z'
'-x,-y,-z'
'-x,y,-z+1/2'
'x,-y,z+1/2'
'x+1/2,y+1/2,z'
'-x+1/2,-y+1/2,-z'
'-x+1/2,y+1/2,-z+1/2'
'x+1/2,-y+1/2,z+1/2'
loop_
_atom_site_label
_atom_site_type_symbol
_atom_site_fract_x
_atom_site_fract_y
_atom_site_fract_z
_atom_site_occupancy
La1 La 0.0000 0.0512 0.2500 1
La2 La 0.0000 0.3014 0.7500 1
I1 I 0.0000 0.3747 0.2500 1
O1 O 0.1231 0.1249 0.9959 1
```

The calculated energies rank the structures as follows, beginning with the most stable: version Q, version R, version P.